Entry 1:
Density functional theory data (PBE) for a geometry-optimized Cs2KZn structure.

It has space group Fm-3m (No. 225), with a = 10.386 Å, b = 10.386 Å, c = 10.386 Å, α = 90.00°, β = 90.00° and γ = 90.00°. Symmetry generates all atoms from Cs at (0.250, 0.250, 0.250), K at (0.000, 0.000, 0.000) and Zn at (0.000, 0.000, 0.500).

For the distance to the lowest polymorph of the same formula, the calculation gives 36 meV per atom. The energy of formation is 0.17 eV/atom. For the density of states at the Fermi level, the calculation gives 13.0 states/eV per cell. The calculated total energy comes out at -0.85 eV/atom.

***

Entry 2:
Density functional theory data (PBE) for a geometry-optimized Cs3KZn structure.

It has space group Pm-3m (No. 221), with a = 7.514 Å, b = 7.514 Å, c = 7.514 Å, α = 90.00°, β = 90.00° and γ = 90.00°. Symmetry generates all atoms from Cs at (0.000, 0.000, 0.500), K at (0.500, 0.500, 0.500) and Zn at (0.000, 0.000, 0.000).

For the distance to the lowest polymorph of the same formula, the calculation gives 0 meV per atom. The energy of formation is 0.10 eV/atom. For the density of states at the Fermi level, the calculation gives 6.0 states/eV per cell. The calculated total energy comes out at -0.89 eV/atom.

***

Entry 3:
Density functional theory data (PBE) for a geometry-optimized CsKZn structure.

It has space group Cmce (No. 64), with a = 8.727 Å, b = 16.227 Å, c = 9.855 Å, α = 90.00°, β = 90.00° and γ = 90.00°. Symmetry generates all atoms from Cs at (0.000, 0.196, 0.109), K at (0.250, 0.042, 0.750) and Zn at (0.000, 0.076, 0.461).

For the distance to the lowest polymorph of the same formula, the calculation gives 0 meV per atom. The energy of formation is 0.09 eV/atom. For the density of states at the Fermi level, the calculation gives 21.5 states/eV per cell. The calculated total energy comes out at -0.99 eV/atom.

***

Entry 4:
Density functional theory data (PBE) for a geometry-optimized Cs2KZn structure.

It has space group I-42d (No. 122), with a = 12.756 Å, b = 12.756 Å, c = 7.471 Å, α = 90.00°, β = 90.00° and γ = 90.00°. Symmetry generates all atoms from Cs at (0.139, 0.250, 0.125), K at (0.000, 0.000, 0.500) and Zn at (0.000, 0.000, 0.000).

For the distance to the lowest polymorph of the same formula, the calculation gives 21 meV per atom. The energy of formation is 0.16 eV/atom. For the density of states at the Fermi level, the calculation gives 19.2 states/eV per cell. The calculated total energy comes out at -0.86 eV/atom.

***

Entry 5:
Density functional theory data (PBE) for a geometry-optimized CsK2Zn structure.

It has space group P4/mmm (No. 123), with a = 4.544 Å, b = 4.544 Å, c = 11.879 Å, α = 90.00°, β = 90.00° and γ = 90.00°. Symmetry generates all atoms from Cs at (0.000, 0.000, 0.000), K at (0.500, 0.500, 0.333) and Zn at (0.000, 0.000, 0.500).

The energy of formation is 0.13 eV/atom. For the density of states at the Fermi level, the calculation gives 3.4 states/eV per cell. The calculated total energy comes out at -0.95 eV/atom.

***

Entry 6:
Density functional theory data (PBE) for a geometry-optimized Cs2KZn structure.

It has space group R-3m (No. 166, hexagonal axes), with a = 5.0572 Å, b = 5.0572 Å, c = 47.9339 Å, α = 90.00°, β = 90.00° and γ = 120.00°. Symmetry generates all atoms from Cs at (0.0000, 0.0000, 0.0814), K at (0.0000, 0.0000, 0.5000) and Zn at (0.0000, 0.0000, 0.0000).

For the distance to the lowest polymorph of the same formula, the calculation gives 146 meV per atom. The energy of formation is 0.28 eV/atom. For the density of states at the Fermi level, the calculation gives 15.8 states/eV per cell. The calculated total energy comes out at -0.74 eV/atom.